No. 1
! LaSmHo2Sc | Alexandria via LeMat-Bulk | PBE-GGA | relaxed; values from VASP
! Total moment in μB per formula unit: 0.00
! Space group: Pmmm, No. 47
! Formation enthalpy at 0 K in eV/f.u.: 1.0
&SYSTEM
  ibrav = 0, nat = 10, ntyp = 4
/
ATOMIC_SPECIES
La 138.91 La.upf
Sm 150.36 Sm.upf
Ho 164.93 Ho.upf
Sc 44.96 Sc.upf
CELL_PARAMETERS angstrom
5.4985 0.0001 -0.0002
0.0000 8.2934 1.3751
-0.0002 -1.1712 7.0605
ATOMIC_POSITIONS crystal
La 0.0000 0.0000 0.0000
La 0.0000 0.0000 0.5000
Sm 0.0000 0.5000 0.7500
Sm 0.0000 0.5000 0.2500
Ho 0.4998 0.6879 0.0001
Ho 0.4998 0.3121 0.4999
Ho 0.5002 0.6879 0.5001
Ho 0.5002 0.3121 0.9999
Sc 0.5000 0.0000 0.2500
Sc 0.5000 0.0000 0.7500

No. 2
! ZrV2Ni2 | Alexandria via LeMat-Bulk | PBE-GGA | relaxed; values from VASP
! Total moment in μB per formula unit: 0.00
! Space group: P4/mbm, No. 127
! Formation enthalpy at 0 K in eV/f.u.: 0.0
! Energy above the lowest structure with this stoichiometry in eV/atom: 0.0659
&SYSTEM
  ibrav = 0, nat = 10, ntyp = 3
/
ATOMIC_SPECIES
Ni 58.69 Ni.upf
Zr 91.22 Zr.upf
V 50.94 V.upf
CELL_PARAMETERS angstrom
-2.1785 -6.9647 -0.2306
0.5983 0.0538 -7.2763
2.5129 -0.7926 0.2008
ATOMIC_POSITIONS crystal
Ni 0.1347 0.6347 0.5000
Ni 0.6347 0.8653 0.5000
Ni 0.8653 0.3653 0.5000
Ni 0.3653 0.1347 0.5000
Zr 0.0000 0.0000 0.0000
Zr 0.5000 0.5000 0.0000
V 0.3431 0.8431 0.0000
V 0.8431 0.6569 0.0000
V 0.6569 0.1569 0.0000
V 0.1569 0.3431 0.0000

No. 3
! SrLaGa2 | Alexandria via LeMat-Bulk | PBE-GGA | relaxed; values from VASP
! Total moment in μB per formula unit: 0.00
! Space group: P2/m, No. 10
! Formation enthalpy at 0 K in eV/f.u.: -1.8
&SYSTEM
  ibrav = 0, nat = 8, ntyp = 3
/
ATOMIC_SPECIES
Sr 87.62 Sr.upf
La 138.91 La.upf
Ga 69.72 Ga.upf
CELL_PARAMETERS angstrom
-3.3309 1.3891 4.0321
0.9917 -3.1518 1.9050
8.4363 5.1920 4.1984
ATOMIC_POSITIONS crystal
Sr 0.7668 0.8836 0.6135
Sr 0.2332 0.8836 0.3865
La 0.7947 0.8837 0.1105
La 0.2053 0.8837 0.8895
Ga 0.7152 0.3837 0.3416
Ga 0.2848 0.3837 0.6584
Ga 0.6848 0.3840 0.8637
Ga 0.3152 0.3840 0.1363

No. 4
! Al5CoOs4 | Alexandria via LeMat-Bulk | PBE-GGA | relaxed; values from VASP
! Total moment in μB per formula unit: 0.00
! Space group: P4/mmm, No. 123
! Formation enthalpy at 0 K in eV/f.u.: -4.1
&SYSTEM
  ibrav = 0, nat = 10, ntyp = 3
/
ATOMIC_SPECIES
Al 26.98 Al.upf
Co 58.93 Co.upf
Os 190.23 Os.upf
CELL_PARAMETERS angstrom
3.0019 0.0000 0.0000
0.0000 3.0019 0.0000
0.0000 0.0000 14.8650
ATOMIC_POSITIONS crystal
Al 0.5000 0.5000 0.0942
Al 0.5000 0.5000 0.2958
Al 0.5000 0.5000 0.5000
Al 0.5000 0.5000 0.7042
Al 0.5000 0.5000 0.9058
Co 0.0000 0.0000 0.0000
Os 0.0000 0.0000 0.1937
Os 0.0000 0.0000 0.3985
Os 0.0000 0.0000 0.6015
Os 0.0000 0.0000 0.8063